Entry 1:
KBe2GeOs after structural relaxation, computed with PBE-GGA.

The structure belongs to space group P4/mmm (No. 123); the cell edges are 4.342, 4.342 and 5.806 Å and the angles 90.00°, 90.00° and 90.00°. The inequivalent atoms are K at (0.000, 0.000, 0.000), Be at (0.000, 0.500, 0.500), Ge at (0.000, 0.000, 0.500) and Os at (0.500, 0.500, 0.000).

The calculation puts the calculated formation energy at 1.7662 eV/atom.

---

Entry 2:
PmNdSc after structural relaxation, computed with PBE-GGA.

The structure belongs to space group Immm (No. 71); the cell edges are 3.325, 6.431 and 17.901 Å and the angles 90.00°, 90.00° and 90.00°. The inequivalent atoms are Pm at (0.000, 0.000, 0.163), Nd at (0.000, 0.258, 0.500) and Sc at (0.000, 0.000, 0.345).

The calculation puts the calculated formation energy at 0.2859 eV/atom.

---

Entry 3:
Cr2Co2Cu after structural relaxation, computed with PBE-GGA.

The structure belongs to space group P4/mbm (No. 127); the cell edges are 6.875, 6.875 and 2.482 Å and the angles 90.00°, 90.00° and 90.00°. The inequivalent atoms are Cr at (0.119, 0.381, 0.000), Co at (0.173, 0.673, 0.500) and Cu at (0.000, 0.000, 0.000).

The calculation puts the calculated formation energy at 0.2703 eV/atom.

---

Entry 4:
TiVB4 after structural relaxation, computed with PBE-GGA.

The structure belongs to space group P6/mmm (No. 191); the cell edges are 3.0117, 3.0117 and 6.2668 Å and the angles 90.00°, 90.00° and 120.00°. The inequivalent atoms are Ti at (0.0000, 0.0000, 0.0000), V at (0.0000, 0.0000, 0.5000) and B at (0.3333, 0.6667, 0.2564).

The calculation puts the calculated formation energy at -0.8977 eV/atom.